10
Lattice="4.083 0.000 0.000 0.000 4.083 0.000 0.000 0.000 16.586" Properties=species:S:1:pos:R:3 comment="PuSnTe2O PBE relaxed" m_tot_mub_per_fu=4.8 e_tot_ev_per_atom=-7.234 dos_ef_per_ev_atom=1.11 e_form_raw_ev_per_atom=-1.32 pbc="T T T"
Te 0.000 2.042 1.676
Te 2.042 0.000 5.439
Te 2.042 0.000 14.910
Te 0.000 2.042 11.148
Sn 0.000 2.042 14.042
Sn 2.042 0.000 2.544
O 2.042 2.042 8.293
O 0.000 0.000 8.293
Pu 2.042 0.000 9.426
Pu 0.000 2.042 7.161

=====

42
Lattice="-4.968 -9.961 2.940 3.381 -4.579 -10.007 7.759 4.821 7.007" Properties=species:S:1:pos:R:3 comment="Tb11In6Si4 PBE relaxed" m_tot_mub_per_fu=0.0 e_tot_ev_per_atom=-4.845 dos_ef_per_ev_atom=0.67 e_form_raw_ev_per_atom=-0.60 pbc="T T T"
Tb 5.360 -6.468 -2.809
Tb 1.528 -8.086 -2.376
Tb 7.105 -1.305 -2.667
Tb 3.884 -5.201 2.916
Tb 0.199 -5.865 0.264
Tb 1.700 -9.901 -5.593
Tb 4.511 -4.904 -5.837
Tb 5.973 -3.854 -0.324
Tb 3.715 -1.378 -1.754
Tb -0.267 -2.444 -1.188
Tb -0.389 -11.248 -2.353
Tb 0.598 -6.373 -5.691
Tb 6.560 1.529 2.292
Tb 4.643 -1.632 2.316
Tb 0.811 -3.250 2.749
Tb 4.471 0.182 5.532
Tb 2.288 -4.518 -2.976
Tb -2.185 -8.167 -1.376
Tb -0.934 -8.414 2.607
Tb -1.320 -12.096 -5.879
Tb 1.660 -4.814 5.776
Tb 2.457 -8.340 1.694
In -3.516 -11.333 -0.939
In 3.568 -6.225 -0.287
In 4.379 -9.088 -0.954
In 1.387 -8.173 -8.542
In 1.929 -3.207 -6.128
In 3.146 1.472 2.641
In 2.307 -5.271 -8.341
In 2.604 -3.494 0.227
In 1.792 -0.630 0.894
In -2.974 -6.367 1.475
In -3.894 -9.268 1.274
In 3.026 -11.191 -2.701
Si 0.173 -9.051 -0.087
Si 5.173 -3.514 -3.267
Si 3.066 -7.186 -4.573
Si 5.998 -0.668 0.027
Si 0.999 -6.205 3.207
Si -0.984 -9.015 -4.382
Si -0.603 -5.525 -2.686
Si 3.105 -2.533 4.513

=====

4
Lattice="-0.965 -6.227 1.403 3.009 -1.695 -5.454 5.630 -0.161 3.156" Properties=species:S:1:pos:R:3 comment="BaAl3 PBE relaxed" m_tot_mub_per_fu=0.8 e_tot_ev_per_atom=-1.602 dos_ef_per_ev_atom=2.04 delta_e_f_ev_per_atom=1.686 pbc="T T T"
Al 2.815 -0.081 1.578
Al 1.505 -0.848 -2.727
Al -0.482 -3.114 0.701
Ba 0.000 0.000 0.000

=====

6
Lattice="0.000 3.513 3.513 3.513 0.000 3.513 3.513 3.513 0.000" Properties=species:S:1:pos:R:3 comment="CaFe4Ir PBE relaxed" m_tot_mub_per_fu=11.0 e_tot_ev_per_atom=-7.316 dos_ef_per_ev_atom=0.50 delta_e_f_ev_per_atom=0.137 pbc="T T T"
Fe 4.390 4.390 2.635
Fe 4.390 2.635 4.390
Fe 2.635 4.390 4.390
Fe 2.635 2.635 2.635
Ir 5.269 5.269 5.269
Ca 0.000 0.000 0.000